## La6Pr2SmY (PBE)

Data for a relaxed structure of La6Pr2SmY.

Properties
For the total magnetic moment, the calculation gives 0.000 μB/f.u. For the energy of formation, the calculation gives 0.1070 eV/atom. The density of states at the Fermi level comes out at 1.2529 states/eV per atom.

Cell lengths 9.926, 15.478, 9.347 Å; angles 90.00, 90.45, 90.00 degrees
Space group C2/c (No. 15)
Asymmetric unit:
1 La 0.074 0.146 0.095 (multiplicity 8)
2 La 0.074 0.349 0.909 (multiplicity 8)
3 La 0.246 0.281 0.319 (multiplicity 8)
4 Pr 0.250 0.045 0.437 (multiplicity 8)
5 Sm 0.000 0.432 0.250 (multiplicity 4)
6 Y 0.000 0.071 0.750 (multiplicity 4)